First-principles (PBE-GGA) data for a relaxed structure of Pr2Ho5TmSc, as listed in the Alexandria database.

Properties
Formation enthalpy at 0 K   152 meV per atom

abc: 10.419 10.419 10.341
angles: 90.00 90.00 149.22
Sites, in units of the cell vectors:
1 Pr 0.113 0.887 0.500
2 Pr 0.116 0.884 0.921
3 Pr 0.884 0.116 0.421
4 Pr 0.887 0.113 0.000
5 Ho 0.015 0.985 0.202
6 Ho 0.274 0.726 0.507
7 Ho 0.298 0.702 0.887
8 Ho 0.374 0.626 0.206
9 Ho 0.484 0.516 0.928
10 Ho 0.516 0.484 0.428
11 Ho 0.626 0.374 0.706
12 Ho 0.702 0.298 0.387
13 Ho 0.726 0.274 0.007
14 Ho 0.985 0.015 0.702
15 Tm 0.406 0.594 0.646
16 Tm 0.594 0.406 0.146
17 Sc 0.195 0.805 0.201
18 Sc 0.805 0.195 0.701



First-principles (PBE-GGA) data for a relaxed structure of KYO2F, as listed in the Alexandria database.

Properties
ΔE_f (raw)   -2.597 eV per atom

abc: 4.434 4.434 4.541
angles: 90.00 90.00 90.00
Sites, in units of the cell vectors:
1 K 0.000 0.000 0.000
2 Y 0.500 0.500 0.500
3 O 0.000 0.500 0.500
4 O 0.500 0.000 0.500
5 F 0.500 0.500 0.000



Size of the total moment, respectively: 0.00 0.20 μB per atom.
VASP energy, respectively: -0.3421 -0.4753 Ry/atom.